Here is an optimized crystal structure of MoAsNF2 from the Alexandria database. Energies are from GGA+U.

Total magnetic moment in Bohr magnetons per cell: 3.983
Relative energy among the computed polymorphs in kJ per mole of atoms: 0.0
VASP energy in eV/cell: -26.11

Cell: 4.2031 4.2031 4.2223 Å, 90.00 90.00 90.00°
Space group P4/mmm (No. 123)
Symmetry-distinct sites (fractional):
Mo: 0.0000 0.0000 0.0000 [1 per cell]
As: 0.5000 0.5000 0.5000 [1 per cell]
N: 0.0000 0.0000 0.5000 [1 per cell]
F: 0.0000 0.5000 0.0000 [2 per cell]